This record from the Alexandria database describes a relaxed structure of Dy2YFe. The functional is PBE.

Summary:
Density in kg/m³: 7676
Crystal system: orthorhombic
Total magnetization in μB/f.u.: 0.0
Total DFT energy (no corrections) in eV/atom: -6.03

abc: 6.254 7.085 9.174
angles: 90.00 90.00 90.00
Positions (direct):
1 Dy 0.171 0.674 0.067
2 Dy 0.329 0.174 0.433
3 Dy 0.829 0.326 0.567
4 Dy 0.671 0.826 0.933
5 Dy 0.829 0.326 0.933
6 Dy 0.671 0.826 0.567
7 Dy 0.171 0.674 0.433
8 Dy 0.329 0.174 0.067
9 Y 0.637 0.548 0.250
10 Y 0.863 0.048 0.250
11 Y 0.363 0.452 0.750
12 Y 0.137 0.952 0.750
13 Fe 0.041 0.391 0.250
14 Fe 0.459 0.891 0.250
15 Fe 0.959 0.609 0.750
16 Fe 0.541 0.109 0.750